1.
Material: LiPu2Ga12
Method: DFT, PBE
State: optimized geometry

The space group is P4/nbm (No. 125, origin choice 2) and the conventional cell measures 6.1137, 6.1137 and 15.3031 Å, with angles of 90.00, 90.00 and 90.00 degrees. The asymmetric unit holds Li at (0.2500, 0.7500, 0.0000), Pu at (0.2500, 0.7500, 0.2434), Ga at (0.9999, 0.0001, 0.0863), Ga at (0.0774, 0.5774, 0.4284), Ga at (0.2500, 0.2500, 0.1821) and Ga at (0.2500, 0.2500, 0.3414).

For the raw total energy, the calculation gives -140.54 eV per cell. The density of states at the Fermi level is 50.9 states/eV per cell. The value obtained for the energy relative to the elements is -225 meV/atom.

2.
Material: LiPu2Ga
Method: DFT, PBE
State: optimized geometry

The space group is R-3m (No. 166, hexagonal axes) and the conventional cell measures 2.6636, 2.6636 and 33.6506 Å, with angles of 90.00, 90.00 and 120.00 degrees. The asymmetric unit holds Li at (0.0000, 0.0000, 0.0000), Pu at (0.0000, 0.0000, 0.0870) and Ga at (0.0000, 0.0000, 0.5000).

For the raw total energy, the calculation gives -97.20 eV per cell. The density of states at the Fermi level is 17.4 states/eV per cell. The value obtained for the energy relative to the elements is 301 meV/atom.

3.
Material: LiPuGa4
Method: DFT, PBE
State: optimized geometry

The space group is F-43m (No. 216) and the conventional cell measures 7.7476, 7.7476 and 7.7476 Å, with angles of 90.00, 90.00 and 90.00 degrees. The asymmetric unit holds Li at (0.0000, 0.0000, 0.0000), Pu at (0.2500, 0.2500, 0.7500) and Ga at (0.1250, 0.1250, 0.3750).

For the raw total energy, the calculation gives -119.05 eV per cell. The density of states at the Fermi level is 51.0 states/eV per cell. The value obtained for the energy relative to the elements is -235 meV/atom.

> Which of these has the highest raw total energy?

LiPu2Ga

> Among the records above, which one has the lowest raw total energy?

LiPu2Ga12